Entry 1:
A relaxed structure of BaTe2S. Source: Alexandria via LeMat-Bulk, functional PBE.

POSCAR file:
```
BaTe2S
1.0
-6.4381 0.1509 1.2501
0.8565 -4.2493 4.9239
-1.6628 4.0558 8.1594
Te S Ba
4 2 2
Direct
0.5078 0.1250 0.2500
0.2422 0.6250 0.2500
0.8750 0.7578 0.7500
0.3750 0.4922 0.7500
0.2500 0.7500 0.5000
0.5000 0.5000 0.0000
0.7500 0.2500 0.5000
0.0000 0.0000 0.0000
```

Values from the calculation:
Raw formation energy = -0.492 eV/atom

Entry 2:
A relaxed structure of Ba2Te2S5. Source: Alexandria via LeMat-Bulk, functional PBE.

POSCAR file:
```
Ba2Te2S5
1.0
5.8510 0.4039 0.3429
-2.1593 7.7174 -2.2390
0.0665 -0.4490 6.4408
Ba S Te
2 5 2
Direct
0.3279 0.7755 0.6538
0.6721 0.2245 0.3462
0.8061 0.6435 0.4355
0.5814 0.1853 0.8319
0.4186 0.8147 0.1681
0.1939 0.3565 0.5645
0.0000 0.0000 0.0000
0.2144 0.2782 0.8915
0.7856 0.7218 0.1085
```

Values from the calculation:
Raw formation energy = -0.909 eV/atom

Entry 3:
A relaxed structure of BaTeS3. Source: Alexandria via LeMat-Bulk, functional PBE.

POSCAR file:
```
BaTeS3
1.0
7.1486 0.0000 0.0000
0.0000 7.9609 0.0000
0.0000 0.0000 10.5208
Te Ba S
4 4 12
Direct
0.4667 0.9507 0.0065
0.0333 0.4507 0.0065
0.5333 0.0493 0.5065
0.9667 0.5493 0.5065
0.5355 0.4023 0.2242
0.9645 0.9023 0.2242
0.0355 0.0977 0.7242
0.4645 0.5977 0.7242
0.1035 0.5103 0.2238
0.8965 0.4897 0.7238
0.1861 0.8198 0.9315
0.6660 0.7083 0.0250
0.6035 0.9897 0.7238
0.8340 0.2083 0.0250
0.3965 0.0103 0.2238
0.3340 0.2917 0.5250
0.8139 0.1802 0.4315
0.1660 0.7917 0.5250
0.6861 0.6802 0.4315
0.3139 0.3198 0.9315
```

Values from the calculation:
Raw formation energy = -0.882 eV/atom

Entry 4:
A relaxed structure of BaTeS2. Source: Alexandria via LeMat-Bulk, functional PBE.

POSCAR file:
```
BaTeS2
1.0
-2.9372 -1.3075 -4.2289
1.0339 -6.6849 1.3488
-4.1639 0.5768 6.0504
Ba Te S
2 2 4
Direct
0.4115 0.2500 0.3230
0.5885 0.7500 0.6770
0.8526 0.7500 0.2051
0.1474 0.2500 0.7949
0.0000 0.5000 0.5000
0.3552 0.7500 0.2103
0.6448 0.2500 0.7897
0.0000 0.0000 0.5000
```

Values from the calculation:
Raw formation energy = -0.897 eV/atom

Entry 5:
A relaxed structure of BaTeS2. Source: Alexandria via LeMat-Bulk, functional PBE.

POSCAR file:
```
BaTeS2
1.0
-4.1186 -0.6296 2.6653
-2.0842 -5.5771 1.1055
1.2957 -1.1593 5.3112
S Te Ba
2 1 1
Direct
0.0882 0.5818 0.6225
0.5536 0.1184 0.1583
0.2163 0.5891 0.1529
0.8464 0.1952 0.5448
```

Values from the calculation:
Raw formation energy = -1.013 eV/atom

Entry 6:
A relaxed structure of BaTeS2. Source: Alexandria via LeMat-Bulk, functional PBE.

POSCAR file:
```
BaTeS2
1.0
5.8521 0.0000 0.0000
0.0000 5.8521 0.0000
2.9261 2.9261 8.2434
S Ba Te
4 2 2
Direct
0.1932 0.6250 0.2500
0.8750 0.8068 0.7500
0.3750 0.4432 0.7500
0.5568 0.1250 0.2500
0.0000 0.0000 0.0000
0.7500 0.2500 0.5000
0.5000 0.5000 0.0000
0.2500 0.7500 0.5000
```

Values from the calculation:
Raw formation energy = -0.716 eV/atom

Entry 7:
A relaxed structure of BaTe3S. Source: Alexandria via LeMat-Bulk, functional PBE.

POSCAR file:
```
BaTe3S
1.0
-5.9516 -1.1420 3.0193
3.1364 -3.5442 4.8418
0.7638 5.6547 3.6445
S Ba Te
1 1 3
Direct
0.5000 0.5000 0.5000
0.0000 0.0000 0.0000
0.0000 0.5000 0.0000
0.5000 0.0000 0.0000
0.0000 0.0000 0.5000
```

Values from the calculation:
Energy relative to the lowest polymorph listed for this composition = 115.84 kJ per mole of atoms
Raw formation energy = 0.692 eV/atom

Entry 8:
A relaxed structure of Ba7TeS5. Source: Alexandria via LeMat-Bulk, functional PBE.

POSCAR file:
```
Ba7TeS5
1.0
-3.5803 -0.5857 2.8477
5.9656 -4.3200 2.8750
8.3152 21.3526 14.8461
Ba S Te
14 10 2
Direct
0.0896 0.1794 0.6031
0.9108 0.8215 0.3969
0.1744 0.3490 0.1717
0.6370 0.2740 0.0343
0.1745 0.3490 0.3284
0.3636 0.7272 0.9657
0.5316 0.0632 0.7499
0.8261 0.6521 0.6715
0.8262 0.6524 0.8283
0.6369 0.2739 0.4657
0.4691 0.9382 0.2501
0.3634 0.7269 0.5343
0.9108 0.8215 0.1032
0.0898 0.1797 0.8968
0.2734 0.5466 0.0725
0.0003 0.0006 0.0000
0.7272 0.4546 0.9275
0.7271 0.4543 0.5724
0.2734 0.5466 0.4276
0.0002 0.0004 0.5000
0.5427 0.0852 0.1417
0.4579 0.9159 0.6416
0.5427 0.0852 0.3584
0.4580 0.9162 0.8583
0.7925 0.5849 0.2501
0.2082 0.4165 0.7499
```

Values from the calculation:
Raw formation energy = -1.836 eV/atom

Entry 9:
A relaxed structure of Ba4TeS3. Source: Alexandria via LeMat-Bulk, functional PBE.

POSCAR file:
```
Ba4TeS3
1.0
-3.0205 0.9375 -3.4363
-4.5131 -6.3702 2.2286
-5.4985 2.3754 5.4807
Ba S Te
4 3 1
Direct
0.4998 0.2429 0.7428
0.0000 0.2348 0.2653
0.5001 0.7573 0.2572
0.0000 0.7655 0.7346
0.5000 0.0001 0.5000
0.9999 0.5001 0.5000
0.0000 0.0001 0.0000
0.5000 0.5001 0.0000
```

Values from the calculation:
Raw formation energy = -1.970 eV/atom

Entry 10:
A relaxed structure of Ba2TeS. Source: Alexandria via LeMat-Bulk, functional PBE.

POSCAR file:
```
Ba2TeS
1.0
-0.7605 7.3006 4.1611
-7.9199 -2.0192 2.0952
-2.6992 0.4689 7.2384
S Ba Te
2 4 2
Direct
0.2500 0.7500 0.5000
0.5000 0.5000 0.0000
0.3750 0.4102 0.7500
0.8750 0.8398 0.7500
0.5898 0.1250 0.2500
0.1602 0.6250 0.2500
0.0000 0.0000 0.0000
0.7500 0.2500 0.5000
```

Values from the calculation:
Energy relative to the lowest polymorph listed for this composition = 18.18 kJ per mole of atoms
Raw formation energy = -1.718 eV/atom

Entry 11:
A relaxed structure of Ba2TeS. Source: Alexandria via LeMat-Bulk, functional PBE.

POSCAR file:
```
Ba2TeS
1.0
4.7686 0.0146 0.0163
2.3714 4.1372 0.0163
2.3530 1.3682 7.8791
S Ba Te
1 2 1
Direct
0.0000 0.0000 0.0000
0.7426 0.7426 0.7725
0.2574 0.2574 0.2275
0.5000 0.5000 0.5000
```

Values from the calculation:
Energy relative to the lowest polymorph listed for this composition = 0.00 kJ per mole of atoms
Raw formation energy = -1.906 eV/atom

Entry 12:
A relaxed structure of BaTeS2. Source: Alexandria via LeMat-Bulk, functional PBE.

POSCAR file:
```
BaTeS2
1.0
6.2109 -5.7197 1.2764
6.7988 -4.0128 -3.2549
8.4019 -1.4220 0.5543
S Te Ba
2 1 1
Direct
0.1050 0.1050 0.1050
0.8950 0.8950 0.8950
0.0000 0.0000 0.0000
0.5000 0.5000 0.5000
```

Values from the calculation:
Raw formation energy = -0.722 eV/atom

Entry 13:
A relaxed structure of BaTeS3. Source: Alexandria via LeMat-Bulk, functional PBE.

POSCAR file:
```
BaTeS3
1.0
5.1372 0.0000 0.0000
0.0000 5.1372 0.0000
0.0000 0.0000 5.1372
S Te Ba
3 1 1
Direct
0.0000 0.5000 0.0000
0.5000 0.0000 0.0000
0.0000 0.0000 0.5000
0.0000 0.0000 0.0000
0.5000 0.5000 0.5000
```

Values from the calculation:
Raw formation energy = -0.760 eV/atom

Entry 14:
A relaxed structure of Ba12Te3S5. Source: Alexandria via LeMat-Bulk, functional PBE.

POSCAR file:
```
Ba12Te3S5
1.0
16.7034 0.0000 0.0000
-5.5678 15.7481 0.0000
-5.5678 -7.8740 13.6382
Ba Te S
48 12 20
Direct
0.9653 0.3756 0.2884
0.2884 0.8756 0.9653
0.9128 0.8231 0.7884
0.0897 0.9128 0.1244
0.5872 0.7116 0.6769
0.8231 0.9128 0.2884
0.4103 0.0347 0.3231
0.7884 0.4653 0.3756
0.6769 0.2116 0.5872
0.7116 0.1244 0.0347
0.6244 0.0347 0.2116
0.0872 0.1769 0.2116
0.5347 0.3231 0.9103
0.0347 0.4103 0.8231
0.1244 0.4128 0.0897
0.4103 0.3756 0.5872
0.8756 0.2884 0.4653
0.9103 0.0872 0.8756
0.4128 0.2884 0.3231
0.1769 0.0872 0.7116
0.0872 0.9103 0.3756
0.8231 0.9103 0.0347
0.8756 0.5872 0.9103
0.5347 0.2116 0.1244
0.3756 0.9653 0.7884
0.0897 0.1769 0.4653
0.4653 0.6769 0.0897
0.9128 0.0897 0.6244
0.2116 0.6769 0.0872
0.3231 0.7884 0.4128
0.4653 0.7884 0.8756
0.2116 0.5347 0.6244
0.1769 0.0897 0.9653
0.1244 0.7116 0.5347
0.0347 0.6244 0.7116
0.2884 0.4128 0.8231
0.5897 0.6244 0.4128
0.9653 0.5897 0.1769
0.6769 0.4653 0.5897
0.5897 0.9653 0.6769
0.3756 0.4103 0.0872
0.4128 0.1244 0.5897
0.9103 0.8231 0.5347
0.5872 0.8756 0.4103
0.3231 0.5347 0.4103
0.7116 0.5872 0.1769
0.6244 0.5897 0.9128
0.7884 0.3231 0.9128
0.8750 0.7500 0.1250
0.1250 0.2500 0.8750
0.6250 0.3750 0.7500
0.8750 0.1250 0.2500
0.7500 0.8750 0.6250
0.2500 0.1250 0.3750
0.7500 0.3750 0.1250
0.3750 0.6250 0.2500
0.1250 0.8750 0.7500
0.3750 0.7500 0.6250
0.6250 0.2500 0.3750
0.2500 0.6250 0.8750
0.3750 0.2500 0.1250
0.5000 0.0000 0.0000
0.0000 0.5000 0.0000
0.6250 0.7500 0.8750
0.1250 0.7500 0.3750
0.2500 0.8750 0.1250
0.8750 0.6250 0.7500
0.5000 0.0000 0.5000
0.5000 0.5000 0.0000
0.7500 0.1250 0.8750
0.8750 0.2500 0.6250
0.1250 0.3750 0.2500
0.7500 0.6250 0.3750
0.6250 0.8750 0.2500
0.3750 0.1250 0.7500
0.0000 0.0000 0.5000
0.0000 0.5000 0.5000
0.5000 0.5000 0.5000
0.2500 0.3750 0.6250
0.0000 0.0000 0.0000
```

Values from the calculation:
Raw formation energy = -1.322 eV/atom

Entry 15:
A relaxed structure of BaTe3S. Source: Alexandria via LeMat-Bulk, functional PBE.

POSCAR file:
```
BaTe3S
1.0
-3.8330 3.2343 2.1224
-2.8061 -4.3812 1.6087
2.6629 0.0386 4.7502
Te Ba S
3 1 1
Direct
0.0000 0.0000 0.5000
0.5000 0.0000 0.0000
0.0000 0.5000 0.0000
0.5000 0.5000 0.5000
0.0000 0.0000 0.0000
```

Values from the calculation:
Energy relative to the lowest polymorph listed for this composition = 0.00 kJ per mole of atoms
Raw formation energy = -0.509 eV/atom

Entry 16:
A relaxed structure of BaTe2S. Source: Alexandria via LeMat-Bulk, functional PBE.

POSCAR file:
```
BaTe2S
1.0
1.0366 -6.1459 1.0257
4.2006 -3.9181 -2.6271
4.9904 -2.9225 2.5403
S Ba Te
1 1 2
Direct
0.5000 0.5000 0.5000
0.0000 0.0000 0.0000
0.7990 0.7990 0.7990
0.2010 0.2010 0.2010
```

Values from the calculation:
Raw formation energy = -0.463 eV/atom

Entry 17:
A relaxed structure of Ba6TeS4. Source: Alexandria via LeMat-Bulk, functional PBE.

POSCAR file:
```
Ba6TeS4
1.0
-1.6906 -4.1169 -1.2451
7.2813 0.5178 -3.0220
8.7693 -9.4989 19.5012
S Ba Te
8 12 2
Direct
0.4067 0.8134 0.1239
0.4067 0.8134 0.3761
0.1375 0.2749 0.0419
0.1375 0.2749 0.4581
0.5933 0.1866 0.8761
0.8625 0.7251 0.9581
0.5933 0.1866 0.6239
0.8625 0.7251 0.5419
0.7742 0.5484 0.4201
0.2258 0.4516 0.5799
0.0389 0.0778 0.3414
0.5000 0.0000 0.0000
0.2258 0.4516 0.9201
0.9611 0.9222 0.8414
0.3331 0.6662 0.2500
0.0389 0.0778 0.1586
0.7742 0.5484 0.0799
0.6669 0.3338 0.7500
0.5000 0.0000 0.5000
0.9611 0.9222 0.6586
0.6568 0.3136 0.2500
0.3432 0.6864 0.7500
```

Values from the calculation:
Raw formation energy = -1.791 eV/atom

Entry 18:
A relaxed structure of Ba2TeS. Source: Alexandria via LeMat-Bulk, functional PBE.

POSCAR file:
```
Ba2TeS
1.0
4.7392 0.0000 0.0000
-2.3696 4.1042 0.0000
0.0000 0.0000 16.0280
Te Ba S
2 4 2
Direct
0.6667 0.3333 0.2500
0.3333 0.6667 0.7500
0.3333 0.6667 0.1124
0.6667 0.3333 0.6124
0.6667 0.3333 0.8876
0.3333 0.6667 0.3876
0.0000 0.0000 0.5000
0.0000 0.0000 0.0000
```

Values from the calculation:
Energy relative to the lowest polymorph listed for this composition = 2.53 kJ per mole of atoms
Raw formation energy = -1.880 eV/atom

Entry 19:
A relaxed structure of Ba2TeS. Source: Alexandria via LeMat-Bulk, functional PBE.

POSCAR file:
```
Ba2TeS
1.0
0.0000 4.0894 4.0894
4.0894 0.0000 4.0894
4.0894 4.0894 0.0000
Ba Te S
2 1 1
Direct
0.2500 0.2500 0.2500
0.7500 0.7500 0.7500
0.5000 0.5000 0.5000
0.0000 0.0000 0.0000
```

Values from the calculation:
Energy relative to the lowest polymorph listed for this composition = 23.25 kJ per mole of atoms
Raw formation energy = -1.665 eV/atom

Entry 20:
A relaxed structure of BaTiTe2S. Source: Alexandria via LeMat-Bulk, functional PBE.

POSCAR file:
```
BaTiTe2S
1.0
5.6361 0.0000 0.0000
0.0000 5.6361 0.0000
0.0000 0.0000 4.6611
Ti Ba S Te
1 1 1 2
Direct
0.0000 0.0000 0.0000
0.5000 0.5000 0.5000
0.0000 0.0000 0.5000
0.0000 0.5000 0.0000
0.5000 0.0000 0.0000
```

Values from the calculation:
Raw formation energy = -1.169 eV/atom